Entry 1:
A relaxed structure of SmThPt, computed with PBE-GGA.

Calculated values
Its total magnetization is 0.0 μB per cell. As for the formation energy: -2.3 eV/f.u.

```
SmThPt
1.0
6.273 0.000 0.000
0.000 7.562 0.000
-0.008 0.000 7.343
Sm Th Pt
4 4 4
Direct
0.107 0.104 0.250 Sm
0.107 0.396 0.750 Sm
0.893 0.604 0.250 Sm
0.893 0.896 0.750 Sm
0.406 0.750 0.000 Th
0.406 0.750 0.500 Th
0.594 0.250 0.000 Th
0.594 0.250 0.500 Th
0.329 0.047 0.750 Pt
0.329 0.453 0.250 Pt
0.671 0.547 0.750 Pt
0.671 0.953 0.250 Pt
```


Entry 2:
A relaxed structure of Sm2ThPt, computed with PBE-GGA.

Calculated values
Its total magnetization is 0.0 μB per cell. As for the formation energy: -0.9 eV/f.u.

```
Sm2ThPt
1.0
1.833 1.059 10.830
-1.833 1.059 10.830
0.000 -2.117 10.830
Sm Th Pt
2 1 1
Direct
0.108 0.108 0.108 Sm
0.892 0.892 0.892 Sm
0.000 0.000 0.000 Th
0.500 0.500 0.500 Pt
```


Entry 3:
A relaxed structure of SmTh2Pt9, computed with PBE-GGA.

Calculated values
Its total magnetization is 0.0 μB per cell. As for the formation energy: -11.5 eV/f.u.

```
SmTh2Pt9
1.0
2.729 1.576 9.011
-2.729 1.576 9.011
0.000 -3.151 9.011
Sm Th Pt
1 2 9
Direct
0.000 0.000 0.000 Sm
0.137 0.137 0.137 Th
0.863 0.863 0.863 Th
0.081 0.587 0.587 Pt
0.333 0.333 0.333 Pt
0.413 0.413 0.919 Pt
0.413 0.919 0.413 Pt
0.500 0.500 0.500 Pt
0.587 0.081 0.587 Pt
0.587 0.587 0.081 Pt
0.667 0.667 0.667 Pt
0.919 0.413 0.413 Pt
```


Entry 4:
A relaxed structure of SmThPt2, computed with PBE-GGA.

Calculated values
Its total magnetization is 0.0 μB per cell. As for the formation energy: -4.3 eV/f.u.

```
SmThPt2
1.0
5.088 0.000 0.000
0.000 5.088 0.000
0.000 0.000 3.602
Sm Th Pt
1 1 2
Direct
0.000 0.000 0.000 Sm
0.500 0.500 0.000 Th
0.000 0.500 0.500 Pt
0.500 0.000 0.500 Pt
```


Entry 5:
A relaxed structure of SmThPt2, computed with PBE-GGA.

Calculated values
Its total magnetization is 0.0 μB per cell. As for the formation energy: -4.2 eV/f.u.

```
SmThPt2
1.0
0.000 3.598 3.598
3.598 0.000 3.598
3.598 3.598 0.000
Sm Th Pt
1 1 2
Direct
0.000 0.000 0.000 Sm
0.500 0.500 0.500 Th
0.250 0.250 0.250 Pt
0.750 0.750 0.750 Pt
```


Entry 6:
A relaxed structure of SmThPt2, computed with PBE-GGA.

Calculated values
Its total magnetization is 0.0 μB per cell. As for the formation energy: -4.7 eV/f.u.

```
SmThPt2
1.0
2.080 1.201 6.875
-2.080 1.201 6.875
0.000 -2.401 6.875
Sm Th Pt
1 1 2
Direct
0.000 0.000 0.000 Sm
0.500 0.500 0.500 Th
0.248 0.248 0.248 Pt
0.752 0.752 0.752 Pt
```